## P
Entry from the Alexandria database: a relaxed structure of LiTlP2 (GGA-PBE).

Cell lengths 9.510, 9.510, 9.510 Å; angles 18.62, 18.62, 18.62 degrees
Fractional positions:
1 Li 0.000 0.000 0.000
2 Tl 0.500 0.500 0.500
3 P 0.263 0.263 0.263
4 P 0.737 0.737 0.737

- spin magnetization (μB per formula unit) = 0.00
- space group = R-3m (166)

=====

## Q
Entry from the Alexandria database: a relaxed structure of LiTlP2 (GGA-PBE).

Cell lengths 5.824, 5.824, 5.824 Å; angles 142.85, 141.44, 54.62 degrees
Fractional positions:
1 Li 0.000 0.000 0.000
2 Tl 0.500 0.500 0.000
3 P 0.246 0.746 0.500
4 P 0.754 0.254 0.500

- spin magnetization (μB per formula unit) = 0.00
- space group = Immm (71)

=====

## R
Entry from the Alexandria database: a relaxed structure of LiTlP2 (GGA-PBE).

Cell lengths 4.735, 4.735, 5.998 Å; angles 98.16, 98.16, 40.75 degrees
Fractional positions:
1 Li 0.000 0.000 0.000
2 Tl 0.500 0.500 0.500
3 P 0.260 0.260 0.876
4 P 0.740 0.740 0.124

- spin magnetization (μB per formula unit) = 0.00
- space group = C2/m (12)

=====

## S
Entry from the Alexandria database: a relaxed structure of LiTlP2 (GGA-PBE).

Cell lengths 6.652, 6.652, 6.652 Å; angles 123.99, 123.99, 83.22 degrees
Fractional positions:
1 Li 0.000 0.000 0.000
2 Li 0.750 0.250 0.500
3 Tl 0.250 0.750 0.500
4 Tl 0.500 0.500 0.000
5 P 0.107 0.625 0.982
6 P 0.375 0.357 0.482
7 P 0.643 0.125 0.018
8 P 0.875 0.893 0.518

- spin magnetization (μB per formula unit) = 0.00
- space group = I-42d (122)

=====

R ends up most stable, edging out the next structure by 0.369 eV/atom.

=====

## P
Entry from the Alexandria database: a relaxed structure of LiTlP2 (GGA-PBE).

Cell lengths 7.030, 7.030, 7.030 Å; angles 153.00, 145.11, 44.66 degrees
Fractional positions:
1 Li 0.000 0.000 0.000
2 Tl 0.734 0.234 0.500
3 P 0.386 0.886 0.500
4 P 0.503 0.503 0.000

- spin magnetization (μB per formula unit) = 0.00
- space group = Imm2 (44)

=====

## Q
Entry from the Alexandria database: a relaxed structure of LiTlP2 (GGA-PBE).

Cell lengths 4.790, 4.790, 4.790 Å; angles 60.00, 60.00, 60.00 degrees
Fractional positions:
1 Li 0.000 0.000 0.000
2 Tl 0.500 0.500 0.500
3 P 0.250 0.250 0.250
4 P 0.750 0.750 0.750

- spin magnetization (μB per formula unit) = 0.00
- space group = Fm-3m (225)

=====

## R
Entry from the Alexandria database: a relaxed structure of LiTlP2 (GGA-PBE).

Cell lengths 3.231, 3.231, 7.404 Å; angles 90.00, 90.00, 90.00 degrees
Fractional positions:
1 Li 0.000 0.000 0.000
2 Tl 0.500 0.500 0.711
3 P 0.000 0.000 0.334
4 P 0.500 0.500 0.221

- spin magnetization (μB per formula unit) = 0.00
- space group = P4mm (99)

=====

P ends up most stable, edging out the next structure by 0.153 eV/atom.

=====

## P
Entry from the Alexandria database: a relaxed structure of LiTl2P (GGA-PBE).

Cell lengths 3.751, 3.751, 6.577 Å; angles 90.00, 90.00, 90.00 degrees
Fractional positions:
1 Li 0.000 0.000 0.000
2 Tl 0.500 0.500 0.264
3 Tl 0.500 0.500 0.736
4 P 0.000 0.000 0.500

- spin magnetization (μB per formula unit) = 0.00
- space group = P4/mmm (123)

=====

## Q
Entry from the Alexandria database: a relaxed structure of LiTl2P (GGA-PBE).

Cell lengths 4.249, 4.249, 7.010 Å; angles 107.56, 107.56, 59.85 degrees
Fractional positions:
1 Li 0.000 0.000 0.000
2 Tl 0.570 0.570 0.709
3 Tl 0.763 0.763 0.288
4 P 0.334 0.334 0.002

- spin magnetization (μB per formula unit) = 0.00
- space group = Cm (8)

=====

## R
Entry from the Alexandria database: a relaxed structure of LiTl2P (GGA-PBE).

Cell lengths 5.542, 5.542, 5.542 Å; angles 136.57, 119.84, 77.06 degrees
Fractional positions:
1 Li 0.000 0.000 0.000
2 Tl 0.400 0.400 0.000
3 Tl 0.695 0.195 0.500
4 P 0.164 0.664 0.500

- spin magnetization (μB per formula unit) = 0.00
- space group = Imm2 (44)

=====

Q ends up most stable, edging out the next structure by 0.192 eV/atom.

=====

## P
Entry from the Alexandria database: a relaxed structure of LiTl2P (GGA-PBE).

Cell lengths 4.424, 4.494, 4.618 Å; angles 90.00, 90.00, 90.00 degrees
Fractional positions:
1 Li 0.000 0.000 0.000
2 Tl 0.500 0.000 0.500
3 Tl 0.500 0.500 0.000
4 P 0.000 0.500 0.500

- spin magnetization (μB per formula unit) = 0.00
- space group = Pmmm (47)

=====

## Q
Entry from the Alexandria database: a relaxed structure of LiTl2P (GGA-PBE).

Cell lengths 3.193, 4.060, 7.539 Å; angles 90.00, 93.64, 90.00 degrees
Fractional positions:
1 Li 0.000 0.000 0.000
2 Tl 0.006 0.500 0.689
3 Tl 0.520 0.000 0.341
4 P 0.515 0.500 0.030

- spin magnetization (μB per formula unit) = 0.00
- space group = Pm (6)

=====

Q ends up most stable, edging out the next structure by 0.127 eV/atom.

=====

## P
Entry from the Alexandria database: a relaxed structure of LiTl2P (GGA-PBE).

Cell lengths 3.395, 3.395, 8.222 Å; angles 90.00, 90.00, 90.00 degrees
Fractional positions:
1 Li 0.000 0.000 0.000
2 Tl 0.000 0.000 0.364
3 Tl 0.500 0.500 0.736
4 P 0.500 0.500 0.120

- spin magnetization (μB per formula unit) = 0.00
- space group = P4mm (99)

=====

## Q
Entry from the Alexandria database: a relaxed structure of LiTl2P (GGA-PBE).

Cell lengths 4.879, 4.146, 6.380 Å; angles 90.00, 112.40, 90.00 degrees
Fractional positions:
1 Li 0.000 0.000 0.000
2 Tl 0.337 0.500 0.675
3 Tl 0.663 0.500 0.325
4 P 0.500 0.000 0.000

- spin magnetization (μB per formula unit) = 0.00
- space group = P2/m (10)

=====

Q ends up most stable, edging out the next structure by 0.059 eV/atom.

=====

## P
Entry from the Alexandria database: a relaxed structure of LiTl2P (GGA-PBE).

Cell lengths 7.907, 7.907, 7.907 Å; angles 156.39, 149.09, 39.26 degrees
Fractional positions:
1 Li 0.000 0.000 0.000
2 Tl 0.331 0.831 0.500
3 Tl 0.669 0.169 0.500
4 P 0.500 0.500 0.000

- spin magnetization (μB per formula unit) = 0.00
- space group = Immm (71)

=====

## Q
Entry from the Alexandria database: a relaxed structure of LiTl2P (GGA-PBE).

Cell lengths 7.043, 7.043, 7.043 Å; angles 97.43, 97.43, 137.84 degrees
Fractional positions:
1 Li 0.000 0.000 0.000
2 Li 0.750 0.250 0.500
3 Tl 0.216 0.625 0.091
4 Tl 0.375 0.466 0.591
5 Tl 0.534 0.125 0.909
6 Tl 0.875 0.784 0.409
7 P 0.250 0.750 0.500
8 P 0.500 0.500 0.000

- spin magnetization (μB per formula unit) = 0.00
- space group = I-42d (122)

=====

P ends up most stable, edging out the next structure by 0.017 eV/atom.